1.
Density functional theory data (PBE) for crystalline CuMoAs at its relaxed geometry. Values from VASP.

```
&SYSTEM
  ibrav = 0, nat = 3, ntyp = 3
/
ATOMIC_SPECIES
Cu 63.55 Cu.upf
Mo 95.94 Mo.upf
As 74.92 As.upf
CELL_PARAMETERS angstrom
-1.3800 1.3800 6.4213
1.3800 -1.3800 6.4213
1.3800 1.3800 -6.4213
ATOMIC_POSITIONS crystal
Cu 0.0000 0.0000 0.0000
Mo 0.6424 0.6424 0.0000
As 0.2998 0.2998 0.0000
```

Total DFT energy (no corrections), eV per cell: -18.45
Relative energy among the computed polymorphs, meV per atom: 215
Theoretical density, g/cm3: 8.0
Calculated volume, Å³/cell: 48.91
SG: I4mm (107)
DFT formation energy, eV per atom: 0.38

2.
Density functional theory data (PBE) for crystalline Nd3Ho2Mg at its relaxed geometry. Values from VASP.

```
&SYSTEM
  ibrav = 0, nat = 6, ntyp = 3
/
ATOMIC_SPECIES
Nd 144.24 Nd.upf
Ho 164.93 Ho.upf
Mg 24.30 Mg.upf
CELL_PARAMETERS angstrom
3.6382 0.0000 0.0000
0.0000 3.6382 0.0000
0.0000 0.0000 14.4891
ATOMIC_POSITIONS crystal
Nd 0.0000 0.0000 0.0000
Nd 0.0000 0.0000 0.3460
Nd 0.0000 0.0000 0.6540
Ho 0.5000 0.5000 0.1734
Ho 0.5000 0.5000 0.8266
Mg 0.5000 0.5000 0.5000
```

Total DFT energy (no corrections), eV per cell: -25.15
Relative energy among the computed polymorphs, meV per atom: 0
Theoretical density, g/cm3: 6.8
Calculated volume, Å³/cell: 191.78
SG: P4/mmm (123)
DFT formation energy, eV per atom: -0.02

3.
Density functional theory data (PBE) for crystalline NpUSeO2 at its relaxed geometry. Values from VASP.

```
&SYSTEM
  ibrav = 0, nat = 5, ntyp = 4
/
ATOMIC_SPECIES
Np 237.00 Np.upf
U 238.03 U.upf
Se 78.96 Se.upf
O 16.00 O.upf
CELL_PARAMETERS angstrom
-1.9299 1.9299 5.2701
1.9299 -1.9299 5.2701
1.9299 1.9299 -5.2701
ATOMIC_POSITIONS crystal
Np 0.0000 0.0000 0.0000
U 0.7574 0.7574 0.0000
Se 0.3849 0.3849 0.0000
O 0.1362 0.6362 0.5000
O 0.6362 0.1362 0.5000
```

Total DFT energy (no corrections), eV per cell: -48.74
Uncorrected formation energy, eV per atom: -2.22
Theoretical density, g/cm3: 12.4
Calculated volume, Å³/cell: 78.51
SG: I4mm (107)